## Sn3B (PBE-GGA)

Data for a geometry-optimized Sn3B structure. Values from VASP.

E_tot (eV/atom): -3.7382
Space-group type: No. 221
Energy of formation from the pure elements (eV per formula unit): 3.73

The structure in Quantum ESPRESSO input format:
```
&SYSTEM
  ibrav = 0, nat = 4, ntyp = 2
/
ATOMIC_SPECIES
Sn 118.71 Sn.upf
B 10.81 B.upf
CELL_PARAMETERS angstrom
4.531 0.000 0.000
0.000 4.531 0.000
0.000 0.000 4.531
ATOMIC_POSITIONS angstrom
Sn 0.000 2.265 2.265
Sn 2.265 0.000 2.265
B 0.000 0.000 0.000
Sn 2.265 2.265 0.000
```

## ZnCo2Sn (PBE-GGA)

Data for a geometry-optimized ZnCo2Sn structure. Values from VASP.

E_tot (eV/atom): -4.8245
Space-group type: No. 123
Energy of formation from the pure elements (eV per formula unit): 0.19

The structure in Quantum ESPRESSO input format:
```
&SYSTEM
  ibrav = 0, nat = 4, ntyp = 3
/
ATOMIC_SPECIES
Sn 118.71 Sn.upf
Zn 65.41 Zn.upf
Co 58.93 Co.upf
CELL_PARAMETERS angstrom
3.074 0.000 0.000
0.000 3.074 0.000
0.000 0.000 5.752
ATOMIC_POSITIONS angstrom
Sn 1.537 1.537 2.876
Zn 1.537 1.537 0.000
Co 0.000 0.000 4.370
Co 0.000 0.000 1.382
```

## LuPt2 (PBE-GGA)

Data for a geometry-optimized LuPt2 structure. Values from VASP.

E_tot (eV/atom): -6.4961
Space-group type: No. 139
Energy of formation from the pure elements (eV per formula unit): -2.89

The structure in Quantum ESPRESSO input format:
```
&SYSTEM
  ibrav = 0, nat = 3, ntyp = 2
/
ATOMIC_SPECIES
Pt 195.08 Pt.upf
Lu 174.97 Lu.upf
CELL_PARAMETERS angstrom
3.520 0.000 0.000
0.000 3.520 0.000
-1.760 -1.760 4.505
ATOMIC_POSITIONS angstrom
Pt 0.000 0.000 3.032
Lu 0.000 0.000 0.000
Pt 1.760 1.760 1.474
```

## MgAlW (PBE-GGA)

Data for a geometry-optimized MgAlW structure. Values from VASP.

E_tot (eV/atom): -5.8681
Space-group type: No. 156
Energy of formation from the pure elements (eV per formula unit): 0.69

The structure in Quantum ESPRESSO input format:
```
&SYSTEM
  ibrav = 0, nat = 3, ntyp = 3
/
ATOMIC_SPECIES
W 183.84 W.upf
Mg 24.30 Mg.upf
Al 26.98 Al.upf
CELL_PARAMETERS angstrom
-0.316 -0.330 2.854
0.760 -2.255 -1.640
6.873 1.625 0.948
ATOMIC_POSITIONS angstrom
W 4.690 0.127 1.997
Mg 2.720 -1.065 0.178
Al 6.781 1.603 0.936
```

## ScTi6Pd12 (PBE-GGA)

Data for a geometry-optimized ScTi6Pd12 structure. Values from VASP.

E_tot (eV/atom): -6.5338
Space-group type: No. 148
Energy of formation from the pure elements (eV per formula unit): -8.13

The structure in Quantum ESPRESSO input format:
```
&SYSTEM
  ibrav = 0, nat = 19, ntyp = 3
/
ATOMIC_SPECIES
Pd 106.42 Pd.upf
Ti 47.87 Ti.upf
Sc 44.96 Sc.upf
CELL_PARAMETERS angstrom
-0.127 -6.780 -0.187
3.827 0.242 -5.595
5.508 -0.052 3.959
ATOMIC_POSITIONS angstrom
Pd 6.676 -6.515 -2.450
Ti 1.714 -4.797 -1.289
Pd 8.416 -4.140 -2.246
Pd 4.872 -1.264 -0.400
Pd 0.792 -2.450 0.423
Ti 4.861 -5.911 1.049
Pd 5.958 -2.778 -2.447
Ti 4.823 -4.590 -3.916
Pd 4.337 -5.326 -1.423
Pd 6.007 -3.563 0.643
Pd 7.772 -5.708 0.169
Pd 1.436 -0.882 -1.992
Ti 4.347 -0.679 -2.872
Sc 0.000 0.000 0.000
Ti 4.385 -2.000 2.093
Pd 2.532 -0.075 0.627
Ti 7.494 -1.793 -0.534
Pd 3.251 -3.812 0.624
Pd 3.201 -3.027 -2.466
```

## TmMgHgRu (PBE-GGA)

Data for a geometry-optimized TmMgHgRu structure. Values from VASP.

E_tot (eV/atom): -4.0952
Space-group type: No. 216
Energy of formation from the pure elements (eV per formula unit): -0.74

The structure in Quantum ESPRESSO input format:
```
&SYSTEM
  ibrav = 0, nat = 4, ntyp = 4
/
ATOMIC_SPECIES
Tm 168.93 Tm.upf
Ru 101.07 Ru.upf
Mg 24.30 Mg.upf
Hg 200.59 Hg.upf
CELL_PARAMETERS angstrom
4.808 0.000 0.000
2.404 4.164 0.000
2.404 1.388 3.926
ATOMIC_POSITIONS angstrom
Tm 4.808 2.776 1.963
Ru 7.212 4.164 2.944
Mg 0.000 0.000 0.000
Hg 2.404 1.388 0.981
```

## MnSb2Se (PBE-GGA)

Data for a geometry-optimized MnSb2Se structure. Values from VASP.

E_tot (eV/atom): -5.2512
Space-group type: No. 160
ΔE_f (raw) (meV per atom): -26

The structure in Quantum ESPRESSO input format:
```
&SYSTEM
  ibrav = 0, nat = 4, ntyp = 3
/
ATOMIC_SPECIES
Mn 54.94 Mn.upf
Sb 121.76 Sb.upf
Se 78.96 Se.upf
CELL_PARAMETERS angstrom
9.059 -0.116 -0.069
8.397 3.401 -0.069
8.397 1.580 3.013
ATOMIC_POSITIONS angstrom
Mn 19.473 3.665 2.166
Sb 0.427 0.080 0.048
Sb 6.752 1.271 0.751
Se 12.128 2.282 1.349
```

## InCuIr2 (PBE-GGA)

Data for a geometry-optimized InCuIr2 structure. Values from VASP.

E_tot (eV/atom): -5.9243
Space-group type: No. 44
Energy of formation from the pure elements (eV per formula unit): 0.86

The structure in Quantum ESPRESSO input format:
```
&SYSTEM
  ibrav = 0, nat = 4, ntyp = 3
/
ATOMIC_SPECIES
Cu 63.55 Cu.upf
Ir 192.22 Ir.upf
In 114.82 In.upf
CELL_PARAMETERS angstrom
5.358 0.005 0.002
2.593 4.689 -0.002
-3.404 -3.314 2.477
ATOMIC_POSITIONS angstrom
Cu 3.915 2.311 0.000
Ir 0.065 0.038 0.000
In 2.932 -0.500 1.239
Ir 1.610 1.877 1.237
```

## Li3AlAg12 (PBE-GGA)

Data for a geometry-optimized Li3AlAg12 structure. Values from VASP.

E_tot (eV/atom): -2.8349
Space-group type: No. 123
Energy of formation from the pure elements (eV per formula unit): -1.66

The structure in Quantum ESPRESSO input format:
```
&SYSTEM
  ibrav = 0, nat = 16, ntyp = 3
/
ATOMIC_SPECIES
Al 26.98 Al.upf
Ag 107.87 Ag.upf
Li 6.94 Li.upf
CELL_PARAMETERS angstrom
4.136 0.000 0.000
0.000 4.136 0.000
0.000 0.000 16.002
ATOMIC_POSITIONS angstrom
Al 0.000 0.000 0.000
Ag 2.068 2.068 12.007
Ag 2.068 0.000 5.998
Ag 0.000 2.068 1.985
Li 0.000 0.000 3.995
Li 0.000 0.000 8.001
Ag 0.000 2.068 10.004
Ag 2.068 0.000 14.017
Ag 2.068 0.000 10.004
Li 0.000 0.000 12.007
Ag 0.000 2.068 5.998
Ag 2.068 0.000 1.985
Ag 2.068 2.068 0.000
Ag 2.068 2.068 3.996
Ag 0.000 2.068 14.017
Ag 2.068 2.068 8.001
```

## Cu2PPb (PBE-GGA)

Data for a geometry-optimized Cu2PPb structure. Values from VASP.

E_tot (eV/atom): -4.1682
Space-group type: No. 44
Energy of formation from the pure elements (eV per formula unit): 0.64

The structure in Quantum ESPRESSO input format:
```
&SYSTEM
  ibrav = 0, nat = 4, ntyp = 3
/
ATOMIC_SPECIES
Cu 63.55 Cu.upf
Pb 207.20 Pb.upf
P 30.97 P.upf
CELL_PARAMETERS angstrom
6.500 0.018 -0.027
4.632 4.560 0.027
-5.485 -2.486 2.446
ATOMIC_POSITIONS angstrom
Cu 2.335 -0.482 1.210
Pb 2.914 2.411 1.237
P 5.828 2.397 0.000
Cu 0.134 0.055 0.000
```

## Nd3InFe (PBE-GGA)

Data for a geometry-optimized Nd3InFe structure. Values from VASP.

E_tot (eV/atom): -5.1366
Space-group type: No. 221
Energy of formation from the pure elements (eV per formula unit): -0.18

The structure in Quantum ESPRESSO input format:
```
&SYSTEM
  ibrav = 0, nat = 5, ntyp = 3
/
ATOMIC_SPECIES
Nd 144.24 Nd.upf
Fe 55.84 Fe.upf
In 114.82 In.upf
CELL_PARAMETERS angstrom
-2.081 1.103 4.690
-0.447 -5.131 1.008
4.797 0.000 2.128
ATOMIC_POSITIONS angstrom
Nd -1.040 0.551 2.345
Nd -0.224 -2.565 0.504
Fe 0.000 0.000 0.000
In 1.135 -2.014 3.913
Nd 2.399 0.000 1.064
```

## Pd3Pt7Rh2 (PBE-GGA)

Data for a geometry-optimized Pd3Pt7Rh2 structure. Values from VASP.

E_tot (eV/atom): -5.9933
Space-group type: No. 10
Energy of formation from the pure elements (eV per formula unit): 0.65

The structure in Quantum ESPRESSO input format:
```
&SYSTEM
  ibrav = 0, nat = 12, ntyp = 3
/
ATOMIC_SPECIES
Pt 195.08 Pt.upf
Rh 102.91 Rh.upf
Pd 106.42 Pd.upf
CELL_PARAMETERS angstrom
-0.094 0.583 -2.669
-4.942 -1.123 -0.072
-6.256 12.092 2.858
ATOMIC_POSITIONS angstrom
Pt -7.365 9.559 2.345
Pt 0.000 0.000 0.000
Pt -6.893 5.534 0.050
Rh -5.232 3.567 -0.438
Pd -8.482 7.027 1.831
Pt -4.398 6.017 0.068
Pd -2.716 3.941 0.955
Rh -6.059 7.983 0.555
Pd -2.518 -0.270 -1.370
Pt -3.832 1.409 0.442
Pt -1.402 2.246 -0.860
Pt -9.889 9.305 0.978
```

## CeZn17Cd (PBE-GGA)

Data for a geometry-optimized CeZn17Cd structure. Values from VASP.

E_tot (eV/atom): -1.5884
Space-group type: No. 160
Energy of formation from the pure elements (eV per formula unit): -1.67

The structure in Quantum ESPRESSO input format:
```
&SYSTEM
  ibrav = 0, nat = 19, ntyp = 3
/
ATOMIC_SPECIES
Zn 65.41 Zn.upf
Cd 112.41 Cd.upf
Ce 140.12 Ce.upf
CELL_PARAMETERS angstrom
6.794 0.058 0.867
0.771 6.750 0.867
0.065 0.058 6.849
ATOMIC_POSITIONS angstrom
Zn 0.762 0.686 0.857
Zn 6.869 6.183 7.727
Cd 3.012 2.711 3.389
Ce 5.035 4.532 5.664
Zn 4.592 1.129 5.166
Zn 2.536 4.659 0.878
Zn 4.899 2.033 0.878
Zn 7.491 6.742 5.119
Zn 1.605 4.448 5.166
Zn 0.575 4.659 2.621
Zn 3.028 5.780 3.406
Zn 0.298 2.033 4.968
Zn 7.146 3.476 8.039
Zn 4.693 0.083 2.621
Zn 2.672 2.405 6.423
Zn 6.066 2.405 3.406
Zn 2.053 0.083 4.968
Zn 4.942 4.448 2.199
Zn 4.206 6.742 8.039
```